# AlTlHPb2 | Alexandria via LeMat-Bulk | PBE-GGA | relaxed
# Size of the total moment: 0.00 μB per formula unit
# N(E_F): 2.23 states/eV/cell
# Electronic total energy: -3.19 eV per atom
data_AlTlHPb2
_cell_length_a 5.880
_cell_length_b 5.880
_cell_length_c 3.440
_cell_angle_alpha 90.00
_cell_angle_beta 90.00
_cell_angle_gamma 90.00
_symmetry_space_group_name_H-M 'P 1'
_symmetry_Int_Tables_number 1
loop_
_symmetry_equiv_pos_as_xyz
'x,y,z'
loop_
_atom_site_label
_atom_site_fract_x
_atom_site_fract_y
_atom_site_fract_z
_atom_site_occupancy
Al1 0.000 0.000 0.000 1
Tl1 0.500 0.500 0.500 1
H1 0.000 0.000 0.500 1
Pb1 0.000 0.500 0.000 1
Pb2 0.500 0.000 0.000 1